# Ga2TePtPb PBE-GGA relaxed
# DOS at the Fermi energy ... 1.4 states/eV per cell
# Uncorrected energy ... -4.1110 eV per atom
# Total moment ... 0.00 μB/f.u.
# Volume ... 26.7 Å³ per atom
data_Ga2TePtPb
_chemical_formula_sum 'Ga2 Te1 Pt1 Pb1'
_symmetry_space_group_name_H-M 'P 4/m m m'
_symmetry_Int_Tables_number 123
_symmetry_space_group_name_Hall '-P 4 2'
_cell_length_a 4.8569
_cell_length_b 4.8569
_cell_length_c 5.6623
_cell_angle_alpha 90.00
_cell_angle_beta 90.00
_cell_angle_gamma 90.00
loop_
_atom_site_label
_atom_site_type_symbol
_atom_site_fract_x
_atom_site_fract_y
_atom_site_fract_z
_atom_site_occupancy
Ga1 Ga 0.0000 0.5000 0.0000 1
Te1 Te 0.0000 0.0000 0.5000 1
Pt1 Pt 0.5000 0.5000 0.0000 1
Pb1 Pb 0.5000 0.5000 0.5000 1